Entry 1:
## HgMo2Ru (PBE-GGA)

Data for HgMo2Ru after structural relaxation.

The structure in extended XYZ format:
```
12
Lattice="2.845 0.000 0.000 -1.423 2.464 0.000 0.000 0.000 28.331" Properties=species:S:1:pos:R:3 pbc="T T T"
Hg 0.000 0.000 0.000
Hg 0.000 1.643 18.887
Hg 1.423 0.821 9.444
Mo 0.000 0.000 6.882
Mo 0.000 0.000 21.449
Mo 0.000 1.643 12.005
Mo 0.000 1.643 25.769
Mo 1.423 0.821 2.561
Mo 1.423 0.821 16.326
Ru 0.000 0.000 14.165
Ru 0.000 1.643 4.722
Ru 1.423 0.821 23.609
```

Properties
- space group = No. 166
- energy of formation from the pure elements (eV/atom) = 0.3691
- DOS(E_F) (states/eV/f.u.) = 4.27

Entry 2:
## Pm4Er3Se8 (PBE-GGA)

Data for Pm4Er3Se8 after structural relaxation.

The structure in extended XYZ format:
```
15
Lattice="5.809 -5.814 0.000 5.809 5.814 0.000 -5.800 0.000 5.817" Properties=species:S:1:pos:R:3 pbc="T T T"
Pm 0.000 0.000 0.000
Pm 2.905 2.907 0.000
Pm 2.905 -2.907 0.000
Pm 2.909 0.000 2.909
Er 0.005 2.907 2.909
Er 0.005 -2.907 2.909
Er 5.809 0.000 0.000
Se 2.909 2.984 2.909
Se -0.075 0.000 2.962
Se -2.840 0.000 5.744
Se 5.809 2.854 0.000
Se 5.809 -2.854 0.000
Se 8.659 0.000 0.073
Se 5.893 0.000 2.855
Se 2.909 -2.984 2.909
```

Properties
- energy relative to the lowest polymorph listed for this composition (meV per atom) = 0.0
- space group = No. 12
- DOS(E_F) (states/eV/f.u.) = 6.26
- E_form (uncorrected) (eV/atom) = -1.827

Entry 3:
## Zr9ScAl2 (PBE-GGA)

Data for Zr9ScAl2 after structural relaxation.

The structure in extended XYZ format:
```
12
Lattice="4.437 0.000 0.000 0.000 4.437 0.000 0.000 0.000 13.305" Properties=species:S:1:pos:R:3 pbc="T T T"
Zr 0.000 0.000 0.000
Zr 0.000 0.000 4.499
Zr 0.000 0.000 8.805
Zr 0.000 2.219 2.307
Zr 0.000 2.219 6.652
Zr 0.000 2.219 10.998
Zr 2.219 0.000 2.307
Zr 2.219 0.000 6.652
Zr 2.219 0.000 10.998
Sc 2.219 2.219 0.000
Al 2.219 2.219 4.470
Al 2.219 2.219 8.834
```

Properties
- space group = No. 123
- energy of formation from the pure elements (eV/atom) = -0.1790
- DOS(E_F) (states/eV/f.u.) = 12.54

Entry 4:
## Ac4Pd2I (PBE-GGA)

Data for Ac4Pd2I after structural relaxation.

The structure in extended XYZ format:
```
7
Lattice="2.222 1.283 15.858 -2.222 1.283 15.858 0.000 -2.566 15.858" Properties=species:S:1:pos:R:3 pbc="T T T"
Ac 0.000 0.000 6.033
Ac 0.000 0.000 13.129
Ac 0.000 0.000 34.445
Ac 0.000 0.000 41.541
Pd 0.000 0.000 20.225
Pd 0.000 0.000 27.349
I 0.000 0.000 0.000
```

Properties
- space group = No. 166
- DOS(E_F) (states/eV/f.u.) = 5.95
- E_form (uncorrected) (eV/atom) = -0.741